No. 1
# La2BiN

Crystalline La2BiN at its relaxed geometry (PBE, Alexandria).

abc: 4.048 14.865 6.757
angles: 90.00 90.00 90.00
Space group Cmcm (No. 63)
Unique sites:
La1 0.000 0.152 0.010 [8 per cell]
Bi1 0.000 0.494 0.250 [4 per cell]
N1 0.000 0.259 0.750 [4 per cell]

Values from the calculation:
The value obtained for the density of states at the Fermi level is 6.84 states/eV/cell. The value obtained for the energy relative to the lowest polymorph listed for this composition is 367 meV per atom. Its uncorrected formation energy is -0.90 eV per atom.

---

No. 2
# La2BiN

Crystalline La2BiN at its relaxed geometry (PBE, Alexandria).

abc: 6.111 13.091 6.103
angles: 90.00 90.00 90.00
Space group Cccm (No. 66)
Unique sites:
La1 0.191 0.103 0.000 [8 per cell]
Bi1 0.250 0.250 0.500 [4 per cell]
N1 0.000 0.000 0.250 [4 per cell]

Values from the calculation:
The value obtained for the density of states at the Fermi level is 3.69 states/eV/cell. The value obtained for the energy relative to the lowest polymorph listed for this composition is 139 meV per atom. Its uncorrected formation energy is -1.13 eV per atom.

---

No. 3
# La4Bi2N

Crystalline La4Bi2N at its relaxed geometry (PBE, Alexandria).

abc: 5.005 5.005 17.140
angles: 90.00 90.00 90.00
Space group I4/mmm (No. 139)
Unique sites:
La1 0.000 0.000 0.159 [4 per cell]
La2 0.000 0.500 0.000 [4 per cell]
Bi1 0.000 0.000 0.356 [4 per cell]
N1 0.000 0.000 0.000 [2 per cell]

Values from the calculation:
The value obtained for the density of states at the Fermi level is 16.07 states/eV/cell. The value obtained for the energy relative to the lowest polymorph listed for this composition is 7 meV per atom. Its uncorrected formation energy is -0.99 eV per atom.

---

No. 4
# La5Bi4N

Crystalline La5Bi4N at its relaxed geometry (PBE, Alexandria).

abc: 10.063 10.063 6.619
angles: 90.00 90.00 90.00
Space group I4 (No. 79)
Unique sites:
La1 0.000 0.000 0.000 [2 per cell]
La2 0.094 0.263 0.418 [8 per cell]
Bi1 0.087 0.307 0.913 [8 per cell]
N1 0.000 0.000 0.344 [2 per cell]

Values from the calculation:
The value obtained for the density of states at the Fermi level is 2.70 states/eV/cell. Its uncorrected formation energy is -0.97 eV per atom.

---

No. 5
# La2BiN

Crystalline La2BiN at its relaxed geometry (PBE, Alexandria).

abc: 7.387 7.387 8.443
angles: 90.00 90.00 90.00
Space group I-42d (No. 122)
Unique sites:
La1 0.149 0.250 0.125 [8 per cell]
Bi1 0.000 0.000 0.500 [4 per cell]
N1 0.000 0.000 0.000 [4 per cell]

Values from the calculation:
The value obtained for the density of states at the Fermi level is 0.00 states/eV/cell. The value obtained for the energy relative to the lowest polymorph listed for this composition is 136 meV per atom. Its uncorrected formation energy is -1.13 eV per atom.

---

No. 6
# La3Bi2N

Crystalline La3Bi2N at its relaxed geometry (PBE, Alexandria).

abc: 11.919 8.273 8.395
angles: 90.00 109.61 90.00
Space group C2/c (No. 15)
Unique sites:
La1 0.000 0.133 0.250 [4 per cell]
La2 0.144 0.463 0.951 [8 per cell]
Bi1 0.156 0.184 0.668 [8 per cell]
N1 0.000 0.408 0.250 [4 per cell]

Values from the calculation:
The value obtained for the energy relative to the lowest polymorph listed for this composition is 0 meV per atom. Its uncorrected formation energy is -1.10 eV per atom.

---

No. 7
# La2BiN

Crystalline La2BiN at its relaxed geometry (PBE, Alexandria).

abc: 7.481 7.481 7.481
angles: 90.00 90.00 90.00
Space group Fm-3m (No. 225)
Unique sites:
La1 0.250 0.250 0.250 [8 per cell]
Bi1 0.000 0.000 0.000 [4 per cell]
N1 0.000 0.000 0.500 [4 per cell]

Values from the calculation:
The value obtained for the density of states at the Fermi level is 8.46 states/eV/cell. The value obtained for the energy relative to the lowest polymorph listed for this composition is 1175 meV per atom. Its uncorrected formation energy is -0.10 eV per atom.

---

No. 8
# La2BiN

Crystalline La2BiN at its relaxed geometry (PBE, Alexandria).

abc: 3.7812 3.7812 24.8182
angles: 90.00 90.00 120.00
Space group R-3m (No. 166, hexagonal axes)
Unique sites:
La1 0.0000 0.0000 0.2235 [6 per cell]
Bi1 0.0000 0.0000 0.0000 [3 per cell]
N1 0.0000 0.0000 0.5000 [3 per cell]

Values from the calculation:
The value obtained for the density of states at the Fermi level is 8.72 states/eV/cell. The value obtained for the energy relative to the lowest polymorph listed for this composition is 238 meV per atom. Its uncorrected formation energy is -1.03 eV per atom.

---

No. 9
# La2BiN

Crystalline La2BiN at its relaxed geometry (PBE, Alexandria).

abc: 4.842 4.842 9.554
angles: 90.00 90.00 90.00
Space group P4/nmm (No. 129, origin choice 2)
Unique sites:
La1 0.250 0.250 0.176 [2 per cell]
La2 0.250 0.750 0.500 [2 per cell]
Bi1 0.250 0.250 0.801 [2 per cell]
N1 0.250 0.250 0.413 [2 per cell]

Values from the calculation:
The value obtained for the density of states at the Fermi level is 1.27 states/eV/cell. The value obtained for the energy relative to the lowest polymorph listed for this composition is 0 meV per atom. Its uncorrected formation energy is -1.27 eV per atom.

---

No. 10
# LaBi3N

Crystalline LaBi3N at its relaxed geometry (PBE, Alexandria).

abc: 5.057 5.057 5.057
angles: 90.00 90.00 90.00
Space group Pm-3m (No. 221)
Unique sites:
La1 0.000 0.000 0.000 [1 per cell]
Bi1 0.000 0.500 0.500 [3 per cell]
N1 0.500 0.500 0.500 [1 per cell]

Values from the calculation:
The value obtained for the density of states at the Fermi level is 3.21 states/eV/cell. The value obtained for the energy relative to the lowest polymorph listed for this composition is 0 meV per atom. Its uncorrected formation energy is 0.02 eV per atom.

---

No. 11
# La3Bi2N

Crystalline La3Bi2N at its relaxed geometry (PBE, Alexandria).

abc: 11.658 9.088 6.907
angles: 90.00 90.00 90.00
Space group Cmcm (No. 63)
Unique sites:
La1 0.000 0.165 0.250 [4 per cell]
La2 0.151 0.500 0.000 [8 per cell]
Bi1 0.150 0.184 0.750 [8 per cell]
N1 0.000 0.419 0.250 [4 per cell]

Values from the calculation:
The value obtained for the density of states at the Fermi level is 11.66 states/eV/cell. The value obtained for the energy relative to the lowest polymorph listed for this composition is 79 meV per atom. Its uncorrected formation energy is -1.02 eV per atom.

---

No. 12
# La4BiN2

Crystalline La4BiN2 at its relaxed geometry (PBE, Alexandria).

abc: 4.064 12.884 13.312
angles: 90.00 90.00 90.00
Space group Cmcm (No. 63)
Unique sites:
La1 0.000 0.000 0.000 [4 per cell]
La2 0.000 0.263 0.100 [8 per cell]
La3 0.000 0.410 0.750 [4 per cell]
Bi1 0.000 0.105 0.750 [4 per cell]
N1 0.000 0.361 0.559 [8 per cell]

Values from the calculation:
The value obtained for the density of states at the Fermi level is 17.48 states/eV/cell. Its uncorrected formation energy is -1.01 eV per atom.

---

Which value of uncorrected formation energy does entry 11 give? -1.02 eV per atom

---

What did the tenth record say?
# LaBi3N

Crystalline LaBi3N at its relaxed geometry (PBE, Alexandria).

abc: 5.057 5.057 5.057
angles: 90.00 90.00 90.00
Space group Pm-3m (No. 221)
Unique sites:
La1 0.000 0.000 0.000 [1 per cell]
Bi1 0.000 0.500 0.500 [3 per cell]
N1 0.500 0.500 0.500 [1 per cell]

Values from the calculation:
The value obtained for the density of states at the Fermi level is 3.21 states/eV/cell. The value obtained for the energy relative to the lowest polymorph listed for this composition is 0 meV per atom. Its uncorrected formation energy is 0.02 eV per atom.

---

Among the records above, which one has the highest uncorrected formation energy? LaBi3N

---

Which value of uncorrected formation energy does entry 7 give? -0.10 eV per atom